Compound: Zn2FeNiO4
Source: Alexandria via LeMat-Bulk
Functional: GGA+U
Structure: relaxed

Cell: 4.3526 4.3526 5.2671 Å, 114.41 114.41 89.99°
Fractional coordinates of all 8 atoms:
1 Zn 0.2500 0.7500 0.5000
2 Zn 0.0000 0.0000 0.0000
3 Fe 0.7500 0.2500 0.5000
4 Ni 0.5000 0.5000 0.0000
5 O 0.9997 0.4997 0.9994
6 O 0.5003 0.0003 0.0006
7 O 0.7464 0.7464 0.4927
8 O 0.2536 0.2536 0.5073

Properties
VASP energy = -5.061 eV per atom
Size of the total moment = 5.98 Bohr magnetons per cell
N(E_F) = 0.00 states/eV/atom